[1]
Compound: MgMnCr2
Source: Alexandria via LeMat-Bulk
Functional: meta-GGA SCAN
Structure: single point on PBEsol structure

Values from the calculation:
Magnetization: 0.90 μB/f.u.
Total DFT energy (no corrections): -58.20 eV/f.u.
Calculated formation energy: 0.4500 eV/atom

abc: 4.9807 8.3924 2.4371
angles: 90.00 108.12 90.00
Closest atoms and distances in Å follow each position.
Space group C2/m (No. 12)
One atom of each set of equivalent atoms:
Mg1 0.0000 0.0000 0.0000 [2 per cell]  2 Mg 2.44, 2 Mn 2.49, 4 Cr 2.55
Mn1 0.0000 0.5000 0.0000 [2 per cell]  2 Mn 2.44, 2 Mg 2.49, 4 Cr 2.55
Cr1 0.2500 0.2500 0.5000 [4 per cell]  4 Cr 2.44-2.49, 2 Mn 2.55, 2 Mg 2.55


[2]
Compound: SrZr2Te
Source: Alexandria via LeMat-Bulk
Functional: meta-GGA SCAN
Structure: single point on PBEsol structure

Values from the calculation:
Formation energy from raw total energies: -0.35 eV per atom
Magnetization: 0.00 μB/f.u.
Total DFT energy (no corrections): -122.31 eV/f.u.

abc: 4.4718 3.8336 13.2210
angles: 90.00 90.00 90.00
Closest atoms and distances in Å follow each position.
Space group Amm2 (No. 38)
One atom of each set of equivalent atoms:
Sr1 0.0000 0.0000 0.0000 [2 per cell]  4 Te 3.24, 1 Zr 3.35
Zr1 0.0000 0.0000 0.2532 [2 per cell]  2 Te 2.94, 4 Zr 2.97
Zr2 0.5000 0.0000 0.7268 [2 per cell]  2 Te 2.96, 4 Zr 2.97
Te1 0.5000 0.0000 0.3971 [2 per cell]  4 Zr 2.94-2.96, 4 Sr 3.24


[3]
Compound: TlTc2Sb
Source: Alexandria via LeMat-Bulk
Functional: meta-GGA SCAN
Structure: single point on PBEsol structure

Values from the calculation:
Formation energy from raw total energies: 0.75 eV per atom
Excess energy over the best structure of this formula in the dataset: 0 meV per atom
Magnetization: 0.00 μB/f.u.
Total DFT energy (no corrections): -176.72 eV/f.u.

abc: 3.2084 5.2251 8.6631
angles: 90.00 90.00 90.00
Closest atoms and distances in Å follow each position.
Space group Cmmm (No. 65)
One atom of each set of equivalent atoms:
Tl1 0.0000 0.0000 0.0000 [2 per cell]  4 Tc 2.80, 4 Tl 3.07
Tc1 0.0000 0.5000 0.2650 [4 per cell]  2 Sb 2.59, 2 Tl 2.80
Sb1 0.0000 0.0000 0.5000 [2 per cell]  4 Tc 2.59


[4]
Compound: MgSiSb2
Source: Alexandria via LeMat-Bulk
Functional: meta-GGA SCAN
Structure: single point on PBEsol structure

Values from the calculation:
Formation energy from raw total energies: 0.17 eV per atom
Magnetization: 0.00 μB/f.u.
Total DFT energy (no corrections): -88.84 eV/f.u.

abc: 3.7024 3.9611 6.3966
angles: 90.00 90.00 90.00
Closest atoms and distances in Å follow each position.
Space group Pmm2 (No. 25)
One atom of each set of equivalent atoms:
Mg1 0.0000 0.0000 0.0000 [1 per cell]  5 Sb 2.86
Si1 0.5000 0.5000 0.7119 [1 per cell]  5 Sb 2.74-2.89
Sb1 0.0000 0.0000 0.5536 [1 per cell]  1 Mg 2.86, 4 Si 2.89
Sb2 0.5000 0.5000 0.1409 [1 per cell]  1 Si 2.74, 4 Mg 2.86


[5]
Compound: ScAl2Cl
Source: Alexandria via LeMat-Bulk
Functional: meta-GGA SCAN
Structure: single point on PBEsol structure

Values from the calculation:
Formation energy from raw total energies: 0.30 eV per atom
Excess energy over the best structure of this formula in the dataset: 689 meV per atom
Magnetization: 0.01 μB/f.u.
Total DFT energy (no corrections): -36.54 eV/f.u.

abc: 6.9180 6.9180 6.9180
angles: 90.00 90.00 90.00
Closest atoms and distances in Å follow each position.
Space group Fm-3m (No. 225)
One atom of each set of equivalent atoms:
Sc1 0.0000 0.0000 0.0000 [4 per cell]  8 Al 3.00
Al1 0.2500 0.2500 0.2500 [8 per cell]  4 Sc 3.00, 4 Cl 3.00
Cl1 0.0000 0.0000 0.5000 [4 per cell]  8 Al 3.00


[6]
Compound: TaCoB2
Source: Alexandria via LeMat-Bulk
Functional: meta-GGA SCAN
Structure: single point on PBEsol structure

Values from the calculation:
Magnetization: 0.00 μB/f.u.
Total DFT energy (no corrections): -101.06 eV/f.u.
Calculated formation energy: -0.5779 eV/atom

abc: 5.8941 3.1277 8.0899
angles: 90.00 90.00 90.00
Closest atoms and distances in Å follow each position.
Space group Pnma (No. 62)
One atom of each set of equivalent atoms:
Ta1 0.1376 0.2500 0.1328 [4 per cell]  9 B 2.39-2.52
Co1 0.0075 0.7500 0.3863 [4 per cell]  5 B 1.99-2.09
B1 0.1642 0.2500 0.8296 [4 per cell]  2 B 1.85, 2 Co 1.99-2.02
B2 0.2329 0.2500 0.4247 [4 per cell]  2 B 1.85